(1)
Hg6SbAuBr2 (PBE, optimized geometry); DFT total energy = -1.36 eV/atom; crystal system = orthorhombic; formation energy (no corrections) = -0.10 eV/atom
1.0
8.3908 0.0000 0.0000
0.0000 10.5766 0.0000
0.0000 0.0000 7.5823
Hg Sb Au Br
12 2 2 4
direct
0.0169 0.2500 0.1198
0.0217 0.7500 0.4150
0.2500 0.0071 0.6827
0.2500 0.4929 0.6827
0.4783 0.7500 0.4150
0.4831 0.2500 0.1198
0.5169 0.7500 0.8802
0.5217 0.2500 0.5850
0.7500 0.5071 0.3173
0.7500 0.9929 0.3173
0.9783 0.2500 0.5850
0.9831 0.7500 0.8802
0.2500 0.2500 0.8440
0.7500 0.7500 0.1560
0.2500 0.7500 0.6766
0.7500 0.2500 0.3234
0.2500 0.0299 0.2905
0.2500 0.4701 0.2905
0.7500 0.5299 0.7095
0.7500 0.9701 0.7095


(2)
Hg4AuSeBr2 (PBE, optimized geometry); DFT total energy = -1.52 eV/atom; crystal system = monoclinic; formation energy (no corrections) = -0.11 eV/atom
1.0
5.8011 -6.5556 0.0000
5.8011 6.5556 0.0000
-5.6356 0.0000 5.8175
Hg Au Se Br
8 2 2 4
direct
0.2103 0.2563 0.4829
0.2205 0.7786 0.9844
0.2214 0.7795 0.5156
0.2563 0.2103 0.9829
0.7437 0.7897 0.0171
0.7786 0.2205 0.4844
0.7795 0.2214 0.0156
0.7897 0.7437 0.5171
0.0000 0.0000 0.0000
0.0000 0.0000 0.5000
0.0000 0.5000 0.5000
0.5000 0.0000 0.0000
0.0000 0.5000 0.0000
0.5000 0.0000 0.5000
0.5000 0.5000 0.0000
0.5000 0.5000 0.5000


(3)
HgAuSe2Br (PBE, optimized geometry); DFT total energy = -2.02 eV/atom; crystal system = tetragonal; formation energy (no corrections) = 0.42 eV/atom
1.0
5.1353 0.0000 0.0000
0.0000 5.1353 0.0000
0.0000 0.0000 5.5024
Hg Au Se Br
1 1 2 1
direct
0.0000 0.0000 0.0000
0.0000 0.0000 0.5000
0.0000 0.5000 0.5000
0.5000 0.0000 0.5000
0.5000 0.5000 0.0000


(4)
HgAuSe2Br (PBE, optimized geometry); DFT total energy = -2.03 eV/atom; crystal system = tetragonal; formation energy (no corrections) = 0.42 eV/atom
1.0
5.1769 0.0000 0.0000
0.0000 5.1769 0.0000
0.0000 0.0000 5.2346
Hg Au Se Br
1 1 2 1
direct
0.0000 0.0000 0.0000
0.5000 0.5000 0.5000
0.0000 0.5000 0.5000
0.5000 0.0000 0.5000
0.5000 0.5000 0.0000


(5)
HgAuSeBr2 (PBE, optimized geometry); DFT total energy = -1.86 eV/atom; crystal system = tetragonal; formation energy (no corrections) = 0.23 eV/atom
1.0
5.2183 0.0000 0.0000
0.0000 5.2183 0.0000
0.0000 0.0000 5.3463
Hg Au Se Br
1 1 1 2
direct
0.0000 0.0000 0.0000
0.5000 0.5000 0.5000
0.5000 0.5000 0.0000
0.0000 0.5000 0.5000
0.5000 0.0000 0.5000


(6)
SnHgAu2Br (PBE, optimized geometry); DFT total energy = -2.37 eV/atom; crystal system = tetragonal; formation energy (no corrections) = 0.14 eV/atom
1.0
5.2918 0.0000 0.0000
0.0000 5.2918 0.0000
0.0000 0.0000 5.7099
Sn Hg Au Br
1 1 2 1
direct
0.0000 0.0000 0.0000
0.5000 0.5000 0.5000
0.0000 0.5000 0.0000
0.5000 0.0000 0.0000
0.0000 0.0000 0.5000


(7)
SrHg2AuBr (PBE, optimized geometry); DFT total energy = -2.05 eV/atom; crystal system = tetragonal; formation energy (no corrections) = -0.60 eV/atom
1.0
5.3345 0.0000 0.0000
0.0000 5.3345 0.0000
0.0000 0.0000 6.1182
Sr Hg Au Br
1 2 1 1
direct
0.0000 0.0000 0.0000
0.0000 0.5000 0.5000
0.5000 0.0000 0.5000
0.0000 0.0000 0.5000
0.5000 0.5000 0.0000


(8)
TaHg2AuBr (PBE, optimized geometry); DFT total energy = -2.74 eV/atom; crystal system = tetragonal; formation energy (no corrections) = 0.74 eV/atom
1.0
5.3171 0.0000 0.0000
0.0000 5.3171 0.0000
0.0000 0.0000 5.2291
Ta Hg Au Br
1 2 1 1
direct
0.0000 0.0000 0.0000
0.0000 0.5000 0.5000
0.5000 0.0000 0.5000
0.0000 0.0000 0.5000
0.5000 0.5000 0.0000


(9)
Hg6TeAuBr2 (PBE, optimized geometry); DFT total energy = -1.30 eV/atom; crystal system = monoclinic; formation energy (no corrections) = -0.14 eV/atom
1.0
7.5207 0.0000 0.0000
0.0000 7.8426 0.0000
-7.2038 0.0000 11.0783
Hg Te Au Br
12 2 2 4
direct
0.1561 0.0216 0.2411
0.1561 0.4784 0.7411
0.2280 0.7106 0.0528
0.2280 0.7894 0.5528
0.3399 0.1880 0.0474
0.3399 0.3120 0.5474
0.6601 0.6880 0.4526
0.6601 0.8120 0.9526
0.7720 0.2106 0.4472
0.7720 0.2894 0.9472
0.8439 0.5216 0.2589
0.8439 0.9784 0.7589
0.5000 0.0000 0.5000
0.5000 0.5000 0.0000
0.0000 0.0000 0.0000
0.0000 0.5000 0.5000
0.2632 0.0091 0.7432
0.2632 0.4909 0.2432
0.7368 0.5091 0.7568
0.7368 0.9909 0.2568


(10)
Tl2HgAuBr6 (PBE, optimized geometry); DFT total energy = -2.34 eV/atom; crystal system = triclinic; formation energy (no corrections) = -0.51 eV/atom
1.0
7.1059 0.0000 0.0000
3.2463 6.3309 0.0000
3.3261 1.9913 8.0024
Tl Hg Au Br
2 1 1 6
direct
0.0000 0.0000 0.0000
0.4122 0.4034 0.6301
0.2073 0.2005 0.3151
0.7065 0.7012 0.8150
0.0115 0.5113 0.9735
0.4014 0.8911 0.6568
0.4347 0.4247 0.2156
0.5137 0.0078 0.9734
0.8994 0.3948 0.6565
0.9798 0.9762 0.4145


(11)
Hg2WAuBr (PBE, optimized geometry); DFT total energy = -2.74 eV/atom; crystal system = tetragonal; formation energy (no corrections) = 0.96 eV/atom
1.0
5.5076 0.0000 0.0000
0.0000 5.5076 0.0000
0.0000 0.0000 5.0468
Hg W Au Br
2 1 1 1
direct
0.0000 0.5000 0.0000
0.5000 0.0000 0.0000
0.0000 0.0000 0.0000
0.0000 0.0000 0.5000
0.5000 0.5000 0.5000


(12)
Ho2AuBr (PBE, optimized geometry); DFT total energy = -4.43 eV/atom; crystal system = trigonal; formation energy (no corrections) = -0.90 eV/atom
1.0
2.0078 1.1592 7.9135
-2.0078 1.1592 7.9135
0.0000 -2.3184 7.9135
Ho Au Br
2 1 1
direct
0.0000 0.0000 0.0000
0.1935 0.1935 0.1935
0.5964 0.5964 0.5964
0.7670 0.7670 0.7670


Number 1: magnetization 0.00 μB/f.u.. Number 2: magnetization 0.00 μB/f.u.. Number 3: magnetization 2.47 μB/f.u.. Number 4: magnetization 0.00 μB/f.u.. Number 5: magnetization 0.00 μB/f.u.. Number 6: magnetization 0.00 μB/f.u.. Number 7: magnetization 0.00 μB/f.u.. Number 8: magnetization 2.15 μB/f.u.. Number 9: magnetization 0.00 μB/f.u.. Number 10: magnetization 0.00 μB/f.u.. Number 11: magnetization 2.19 μB/f.u.. Number 12: magnetization 0.00 μB/f.u..